# GGA-PBE InIr2W, optimized geometry
# **Magnetization**: 0.0 μB per formula unit
# **E_form**: 157 meV/atom
# **Crystal system**: tetragonal
data_InIr2W
_chemical_formula_sum 'In2 Ir4 W2'
_cell_length_a 3.9275
_cell_length_b 3.9275
_cell_length_c 8.3868
_cell_angle_alpha 90.00
_cell_angle_beta 90.00
_cell_angle_gamma 90.00
_space_group_name_H-M_alt 'I -4 m 2'
_space_group_IT_number 119
_space_group_name_Hall 'I -4 -2'
loop_
_atom_site_label
_atom_site_type_symbol
_atom_site_fract_x
_atom_site_fract_y
_atom_site_fract_z
In1 In 0.0000 0.0000 0.0000
Ir1 Ir 0.0000 0.0000 0.5000
Ir2 Ir 0.0000 0.5000 0.7500
W1 W 0.0000 0.5000 0.2500